# 1
Density functional theory data (PBE-GGA) for a relaxed structure of BaRh. Values from VASP.

```
&SYSTEM
  ibrav = 0, nat = 6, ntyp = 2
/
ATOMIC_SPECIES
Ba 137.33 Ba.upf
Rh 102.91 Rh.upf
CELL_PARAMETERS angstrom
6.2543 -2.4389 0.0000
6.2543 2.4389 0.0000
-2.4385 0.0000 5.8892
ATOMIC_POSITIONS crystal
Ba 0.0000 0.0000 0.0000
Ba 0.3245 0.3245 0.4711
Ba 0.6366 0.6366 0.5714
Rh 0.2417 0.2417 0.9418
Rh 0.7753 0.7753 0.1132
Rh 0.9794 0.9794 0.4850
```

Properties
- SG: Cm (8)
- DFT formation energy: 0.01 eV/atom
- Total moment: 0.0 μB/f.u.
- Crystal system: monoclinic

# 2
Density functional theory data (PBE-GGA) for a relaxed structure of BaRh2. Values from VASP.

```
&SYSTEM
  ibrav = 0, nat = 3, ntyp = 2
/
ATOMIC_SPECIES
Ba 137.33 Ba.upf
Rh 102.91 Rh.upf
CELL_PARAMETERS angstrom
0.0000 3.3373 3.3373
3.3373 0.0000 3.3373
3.3373 3.3373 0.0000
ATOMIC_POSITIONS crystal
Ba 0.0000 0.0000 0.0000
Rh 0.2500 0.2500 0.2500
Rh 0.7500 0.7500 0.7500
```

Properties
- SG: Fm-3m (225)
- DFT formation energy: 1.00 eV/atom
- Total moment: 0.0 μB/f.u.
- Crystal system: cubic

# 3
Density functional theory data (PBE-GGA) for a relaxed structure of BaRh2. Values from VASP.

```
&SYSTEM
  ibrav = 0, nat = 6, ntyp = 2
/
ATOMIC_SPECIES
Ba 137.33 Ba.upf
Rh 102.91 Rh.upf
CELL_PARAMETERS angstrom
-2.5870 2.5870 5.2827
2.5870 -2.5870 5.2827
2.5870 2.5870 -5.2827
ATOMIC_POSITIONS crystal
Ba 0.2500 0.2500 0.0000
Ba 0.7500 0.7500 0.0000
Rh 0.1769 0.6769 0.8539
Rh 0.3231 0.1769 0.5000
Rh 0.6769 0.8231 0.5000
Rh 0.8231 0.3231 0.1461
```

Properties
- SG: I4/mcm (140)
- DFT formation energy: 0.01 eV/atom
- Total moment: 0.6 μB/f.u.
- Crystal system: tetragonal

# 4
Density functional theory data (PBE-GGA) for a relaxed structure of Ba2Rh. Values from VASP.

```
&SYSTEM
  ibrav = 0, nat = 6, ntyp = 2
/
ATOMIC_SPECIES
Ba 137.33 Ba.upf
Rh 102.91 Rh.upf
CELL_PARAMETERS angstrom
6.9131 -2.1463 0.0000
6.9131 2.1463 0.0000
-0.2715 0.0000 7.6037
ATOMIC_POSITIONS crystal
Ba 0.0000 0.0000 0.0000
Ba 0.0000 0.0000 0.5000
Ba 0.2668 0.2668 0.7567
Ba 0.7332 0.7332 0.2433
Rh 0.3884 0.3884 0.2398
Rh 0.6116 0.6116 0.7602
```

Properties
- SG: C2/m (12)
- DFT formation energy: -0.10 eV/atom
- Total moment: 0.0 μB/f.u.
- Crystal system: monoclinic

# 5
Density functional theory data (PBE-GGA) for a relaxed structure of Ba4Rh. Values from VASP.

```
&SYSTEM
  ibrav = 0, nat = 5, ntyp = 2
/
ATOMIC_SPECIES
Ba 137.33 Ba.upf
Rh 102.91 Rh.upf
CELL_PARAMETERS angstrom
6.2737 0.0000 0.0000
0.0000 6.2737 0.0000
0.0000 0.0000 6.2737
ATOMIC_POSITIONS crystal
Ba 0.0000 0.0000 0.0000
Ba 0.0000 0.5000 0.5000
Ba 0.5000 0.0000 0.5000
Ba 0.5000 0.5000 0.0000
Rh 0.5000 0.5000 0.5000
```

Properties
- SG: Pm-3m (221)
- DFT formation energy: -0.10 eV/atom
- ΔE to the lowest computed polymorph: 56 meV per atom
- Total moment: 0.0 μB/f.u.
- Crystal system: cubic

# 6
Density functional theory data (PBE-GGA) for a relaxed structure of BaRh. Values from VASP.

```
&SYSTEM
  ibrav = 0, nat = 4, ntyp = 2
/
ATOMIC_SPECIES
Ba 137.33 Ba.upf
Rh 102.91 Rh.upf
CELL_PARAMETERS angstrom
-2.2559 2.2830 7.2524
2.2559 -2.2830 7.2524
2.2559 2.2830 -7.2524
ATOMIC_POSITIONS crystal
Ba 0.3807 0.1307 0.2500
Ba 0.6193 0.8693 0.7500
Rh 0.0314 0.2814 0.7500
Rh 0.9686 0.7186 0.2500
```

Properties
- SG: Imma (74)
- DFT formation energy: -0.06 eV/atom
- Total moment: 0.1 μB/f.u.
- Crystal system: orthorhombic

# 7
Density functional theory data (PBE-GGA) for a relaxed structure of BaRh. Values from VASP.

```
&SYSTEM
  ibrav = 0, nat = 16, ntyp = 2
/
ATOMIC_SPECIES
Ba 137.33 Ba.upf
Rh 102.91 Rh.upf
CELL_PARAMETERS angstrom
6.0339 0.0000 0.0000
0.0000 8.3169 0.0000
0.0000 0.0000 9.9136
ATOMIC_POSITIONS crystal
Ba 0.0844 0.1077 0.4770
Ba 0.1101 0.6912 0.6370
Ba 0.3899 0.3088 0.1370
Ba 0.4156 0.8923 0.9770
Ba 0.5844 0.3923 0.5230
Ba 0.6101 0.8088 0.3630
Ba 0.8899 0.1912 0.8630
Ba 0.9156 0.6077 0.0230
Rh 0.0866 0.5227 0.3520
Rh 0.1129 0.8030 0.2668
Rh 0.3871 0.1970 0.7668
Rh 0.4134 0.4773 0.8520
Rh 0.5866 0.9773 0.6480
Rh 0.6129 0.6970 0.7332
Rh 0.8871 0.3030 0.2332
Rh 0.9134 0.0227 0.1480
```

Properties
- SG: P2_12_12_1 (19)
- DFT formation energy: -0.09 eV/atom
- Total moment: 0.0 μB/f.u.
- Crystal system: orthorhombic

# 8
Density functional theory data (PBE-GGA) for a relaxed structure of Ba2Rh. Values from VASP.

```
&SYSTEM
  ibrav = 0, nat = 3, ntyp = 2
/
ATOMIC_SPECIES
Ba 137.33 Ba.upf
Rh 102.91 Rh.upf
CELL_PARAMETERS angstrom
4.5484 0.0000 0.0000
-2.2742 3.9390 0.0000
0.0000 0.0000 7.3735
ATOMIC_POSITIONS crystal
Ba 0.3333 0.6667 0.2228
Ba 0.6667 0.3333 0.7772
Rh 0.0000 0.0000 0.0000
```

Properties
- SG: P-3m1 (164)
- DFT formation energy: -0.13 eV/atom
- Total moment: 0.0 μB/f.u.
- Crystal system: trigonal